Record 1
{
  "formula": "RbPRu3",
  "functional": "GGA-PBE",
  "state": "optimized geometry",
  "e_above_lowest_polymorph_mev_per_atom": 2457.6,
  "n_ef_per_ev_fu": 10.0,
  "ef_ev_per_atom": 3.2389,
  "sg": "No. 221",
  "total_magnetization_mub_per_fu": 4.5,
  "lattice_angstrom": [[-0.463, 4.675, 0.899], [-4.646, -0.247, -1.112], [-1.040, -0.980, 4.565]],
  "species": ["Rb", "Ru", "Ru", "Ru", "P"],
  "frac_coords": [[0.000, 0.000, 0.000], [0.000, 0.500, 0.000], [0.000, 0.000, 0.500], [0.500, 0.000, 0.000], [0.500, 0.500, 0.500]]
}

=====

Record 2
{
  "formula": "RbP2Ru2",
  "functional": "GGA-PBE",
  "state": "optimized geometry",
  "n_ef_per_ev_fu": 3.7,
  "ef_ev_per_atom": -0.1831,
  "sg": "No. 123",
  "total_magnetization_mub_per_fu": 0.0,
  "lattice_angstrom": [[3.941, 0.000, 0.000], [0.000, 3.941, 0.000], [0.000, 0.000, 6.770]],
  "species": ["Ru", "Ru", "Rb", "P", "P"],
  "frac_coords": [[0.500, 0.000, 0.500], [0.000, 0.500, 0.500], [0.000, 0.000, 0.000], [0.500, 0.500, 0.699], [0.500, 0.500, 0.301]]
}

=====

Record 3
{
  "formula": "RbP2Ru",
  "functional": "GGA-PBE",
  "state": "optimized geometry",
  "e_above_lowest_polymorph_mev_per_atom": 1004.9,
  "n_ef_per_ev_fu": 1.9,
  "ef_ev_per_atom": 0.7941,
  "sg": "No. 225",
  "total_magnetization_mub_per_fu": 0.0,
  "lattice_angstrom": [[-4.481, -0.973, 0.787], [-3.312, 2.118, -2.488], [-2.445, -2.406, -3.143]],
  "species": ["P", "P", "Rb", "Ru"],
  "frac_coords": [[0.750, 0.750, 0.750], [0.250, 0.250, 0.250], [0.000, 0.000, 0.000], [0.500, 0.500, 0.500]]
}

=====

Record 4
{
  "formula": "RbP2Ru2",
  "functional": "GGA-PBE",
  "state": "optimized geometry",
  "n_ef_per_ev_fu": 2.3,
  "ef_ev_per_atom": -0.6264,
  "sg": "No. 139",
  "total_magnetization_mub_per_fu": 0.0,
  "lattice_angstrom": [[-2.464, -3.208, -0.294], [0.241, -0.553, 4.011], [-4.143, 5.838, -0.997]],
  "species": ["P", "P", "Ru", "Ru", "Rb"],
  "frac_coords": [[0.665, 0.665, 0.331], [0.335, 0.335, 0.669], [0.250, 0.750, 0.500], [0.750, 0.250, 0.500], [0.000, 0.000, 0.000]]
}

=====

Record 5
{
  "formula": "Rb2P2Ru",
  "functional": "GGA-PBE",
  "state": "optimized geometry",
  "n_ef_per_ev_fu": 3.3,
  "ef_ev_per_atom": 0.7404,
  "sg": "No. 139",
  "total_magnetization_mub_per_fu": 1.7,
  "lattice_angstrom": [[3.357, 0.000, 0.000], [0.000, 3.357, 0.000], [1.679, 1.679, 11.362]],
  "species": ["Rb", "Rb", "P", "P", "Ru"],
  "frac_coords": [[0.616, 0.616, 0.769], [0.384, 0.384, 0.231], [0.750, 0.250, 0.500], [0.250, 0.750, 0.500], [0.000, 0.000, 0.000]]
}

=====

Record 6
{
  "formula": "RbPRuS2",
  "functional": "GGA-PBE",
  "state": "optimized geometry",
  "formation_energy_uncorrected_ev_per_atom": 2.288,
  "e_above_lowest_polymorph_mev_per_atom": 2278.8,
  "n_ef_per_ev_fu": 6.3,
  "sg": "No. 123",
  "total_magnetization_mub_per_fu": 5.5,
  "lattice_angstrom": [[-1.205, -3.460, -4.045], [-3.521, -2.592, 3.267], [-3.956, 3.301, -1.645]],
  "species": ["Rb", "Ru", "S", "S", "P"],
  "frac_coords": [[0.000, 0.000, 0.000], [0.500, 0.500, 0.500], [0.500, 0.000, 0.000], [0.000, 0.500, 0.000], [0.000, 0.000, 0.500]]
}

=====

Record 7
{
  "formula": "RbP2RuS",
  "functional": "GGA-PBE",
  "state": "optimized geometry",
  "formation_energy_uncorrected_ev_per_atom": 0.106,
  "e_above_lowest_polymorph_mev_per_atom": 0.0,
  "n_ef_per_ev_fu": 4.5,
  "sg": "No. 123",
  "total_magnetization_mub_per_fu": 0.0,
  "lattice_angstrom": [[4.537, 0.000, 0.000], [0.000, 4.537, 0.000], [0.000, 0.000, 5.567]],
  "species": ["Rb", "P", "P", "S", "Ru"],
  "frac_coords": [[0.500, 0.500, 0.500], [0.000, 0.500, 0.000], [0.500, 0.000, 0.000], [0.000, 0.000, 0.500], [0.000, 0.000, 0.000]]
}

=====

Record 8
{
  "formula": "RbP2RuS8",
  "functional": "GGA-PBE",
  "state": "optimized geometry",
  "formation_energy_uncorrected_ev_per_atom": -0.290,
  "n_ef_per_ev_fu": 8.1,
  "sg": "No. 147",
  "total_magnetization_mub_per_fu": 0.0,
  "lattice_angstrom": [[5.893, 0.000, 0.000], [-2.946, 5.103, 0.000], [0.000, 0.000, 9.837]],
  "species": ["Ru", "S", "S", "S", "S", "S", "S", "S", "S", "P", "P", "Rb"],
  "frac_coords": [[0.000, 0.000, 0.500], [0.333, 0.667, 0.897], [0.331, 0.342, 0.369], [0.342, 0.011, 0.631], [0.658, 0.989, 0.369], [0.989, 0.331, 0.631], [0.669, 0.658, 0.631], [0.667, 0.333, 0.103], [0.011, 0.669, 0.369], [0.667, 0.333, 0.305], [0.333, 0.667, 0.695], [0.000, 0.000, 0.000]]
}

=====

Record 9
{
  "formula": "RbP2RuS",
  "functional": "GGA-PBE",
  "state": "optimized geometry",
  "formation_energy_uncorrected_ev_per_atom": 2.671,
  "e_above_lowest_polymorph_mev_per_atom": 2564.6,
  "n_ef_per_ev_fu": 11.3,
  "sg": "No. 123",
  "total_magnetization_mub_per_fu": 0.3,
  "lattice_angstrom": [[5.161, 0.000, 0.000], [0.000, 5.161, 0.000], [0.000, 0.000, 5.192]],
  "species": ["Rb", "P", "P", "S", "Ru"],
  "frac_coords": [[0.000, 0.000, 0.000], [0.000, 0.500, 0.000], [0.500, 0.000, 0.000], [0.000, 0.000, 0.500], [0.500, 0.500, 0.500]]
}

=====

Record 10
{
  "formula": "RbPRuS2",
  "functional": "GGA-PBE",
  "state": "optimized geometry",
  "formation_energy_uncorrected_ev_per_atom": 0.010,
  "e_above_lowest_polymorph_mev_per_atom": 0.0,
  "n_ef_per_ev_fu": 5.7,
  "sg": "No. 123",
  "total_magnetization_mub_per_fu": 1.9,
  "lattice_angstrom": [[-2.076, -2.262, 3.936], [3.983, -2.983, 0.386], [1.963, 2.977, 2.746]],
  "species": ["Ru", "S", "S", "Rb", "P"],
  "frac_coords": [[0.000, 0.000, 0.000], [0.500, 0.000, 0.000], [0.000, 0.500, 0.000], [0.500, 0.500, 0.500], [0.000, 0.000, 0.500]]
}

=====

Record 11
{
  "formula": "RbSb2PRu",
  "functional": "GGA-PBE",
  "state": "optimized geometry",
  "formation_energy_uncorrected_ev_per_atom": 2.405,
  "n_ef_per_ev_fu": 5.4,
  "sg": "No. 123",
  "total_magnetization_mub_per_fu": 1.5,
  "lattice_angstrom": [[-4.897, 0.874, 3.124], [0.730, -4.219, 2.325], [3.123, 2.805, 4.110]],
  "species": ["P", "Rb", "Ru", "Sb", "Sb"],
  "frac_coords": [[0.500, 0.500, 0.500], [0.000, 0.000, 0.000], [0.000, 0.500, 0.000], [0.500, 0.000, 0.000], [0.000, 0.000, 0.500]]
}

=====

Record 12
{
  "formula": "RbTlPRu",
  "functional": "GGA-PBE",
  "state": "optimized geometry",
  "n_ef_per_ev_fu": 2.6,
  "ef_ev_per_atom": -0.3612,
  "sg": "No. 129",
  "total_magnetization_mub_per_fu": 0.0,
  "lattice_angstrom": [[-2.905, -1.213, 2.745], [0.583, -3.976, -1.140], [9.400, -1.307, 9.370]],
  "species": ["Tl", "Tl", "P", "P", "Rb", "Rb", "Ru", "Ru"],
  "frac_coords": [[0.250, 0.750, 0.500], [0.750, 0.250, 0.500], [0.750, 0.750, 0.920], [0.250, 0.250, 0.080], [0.750, 0.750, 0.230], [0.250, 0.250, 0.770], [0.250, 0.750, 0.000], [0.750, 0.250, 0.000]]
}